[1]
Compound: Li2SiPt
Source: Alexandria
Functional: PBE-GGA
Structure: optimized geometry

Output
- raw total energy (eV per atom) = -4.17

a b c (Å): 2.6718 2.6718 7.9706
angles (deg): 90.00 90.00 90.00
Sites, in units of the cell vectors:
Li1 0.0000 0.0000 0.2414
Li2 0.0000 0.0000 0.7586
Si1 0.5000 0.5000 0.5000
Pt1 0.5000 0.5000 0.0000

=====

[2]
Compound: La4Nd3Ho4
Source: Alexandria
Functional: PBE-GGA
Structure: optimized geometry

Output
- raw total energy (eV per atom) = -4.61
- formation energy from the elements (kJ/mol of formula units) = 157.1

a b c (Å): 10.8575 6.7181 6.7181
angles (deg): 51.30 90.00 90.00
Sites, in units of the cell vectors:
La1 0.0000 0.0000 0.0000
La2 0.2086 0.8022 0.8022
La3 0.5000 0.9193 0.9193
La4 0.7914 0.8022 0.8022
Nd1 0.0000 0.2929 0.2929
Nd2 0.2906 0.4541 0.4541
Nd3 0.7094 0.4541 0.4541
Ho1 0.0000 0.5962 0.5962
Ho2 0.3070 0.1485 0.1485
Ho3 0.5000 0.6464 0.6464
Ho4 0.6930 0.1485 0.1485

=====

[3]
Compound: Tm11Cd9Ag4
Source: Alexandria
Functional: PBE-GGA
Structure: optimized geometry

Output
- raw total energy (eV per atom) = -3.17
- formation energy from the elements (kJ/mol of formula units) = -709.5

a b c (Å): 13.0946 13.0946 3.7006
angles (deg): 90.00 90.00 112.48
Sites, in units of the cell vectors:
Tm1 0.0000 0.0000 0.0000
Tm2 0.0716 0.4146 0.0000
Tm3 0.1645 0.8355 0.0000
Tm4 0.2807 0.2807 0.0000
Tm5 0.3576 0.6424 0.0000
Tm6 0.4146 0.0716 0.0000
Tm7 0.5854 0.9284 0.0000
Tm8 0.6424 0.3576 0.0000
Tm9 0.7193 0.7193 0.0000
Tm10 0.8355 0.1645 0.0000
Tm11 0.9284 0.5854 0.0000
Cd1 0.0582 0.2110 0.5000
Cd2 0.1498 0.6323 0.5000
Cd3 0.2110 0.0582 0.5000
Cd4 0.3677 0.8502 0.5000
Cd5 0.5000 0.5000 0.5000
Cd6 0.6323 0.1498 0.5000
Cd7 0.7890 0.9418 0.5000
Cd8 0.8502 0.3677 0.5000
Cd9 0.9418 0.7890 0.5000
Ag1 0.2574 0.4500 0.5000
Ag2 0.4500 0.2574 0.5000
Ag3 0.5500 0.7426 0.5000
Ag4 0.7426 0.5500 0.5000

=====

[4]
Compound: Nd3YHo7
Source: Alexandria
Functional: PBE-GGA
Structure: optimized geometry

Output
- energy above the most stable polymorph in this dataset (meV/atom) = 29
- raw total energy (eV per atom) = -4.62
- formation energy from the elements (kJ/mol of formula units) = 187.7

a b c (Å): 7.0691 7.0691 8.6804
angles (deg): 90.00 90.00 120.00
Sites, in units of the cell vectors:
Nd1 0.1669 0.3339 0.0000
Nd2 0.1669 0.8331 0.0000
Nd3 0.6661 0.8331 0.0000
Y1 0.0000 0.0000 0.3399
Ho1 0.0018 0.5009 0.3388
Ho2 0.3322 0.1661 0.6632
Ho3 0.3333 0.6667 0.6609
Ho4 0.4991 0.5009 0.3388
Ho5 0.4991 0.9982 0.3388
Ho6 0.8339 0.1661 0.6632
Ho7 0.8339 0.6678 0.6632

=====

[5]
Compound: HfFeI2N
Source: Alexandria
Functional: PBE-GGA
Structure: optimized geometry

Output
- energy above the most stable polymorph in this dataset (meV/atom) = 0
- raw total energy (eV per atom) = -5.60

a b c (Å): 5.8760 5.8760 3.9560
angles (deg): 90.00 90.00 90.00
Sites, in units of the cell vectors:
Hf1 0.0000 0.0000 0.0000
Fe1 0.5000 0.5000 0.5000
I1 0.0000 0.5000 0.0000
I2 0.5000 0.0000 0.0000
N1 0.0000 0.0000 0.5000

=====

[6]
Compound: Sc4AlCu3
Source: Alexandria
Functional: PBE-GGA
Structure: optimized geometry

Output
- raw total energy (eV per atom) = -5.48
- formation energy from the elements (kJ/mol of formula units) = -237.7

a b c (Å): 4.6461 4.6461 6.6577
angles (deg): 90.00 90.00 90.00
Sites, in units of the cell vectors:
Sc1 0.0000 0.5000 0.2409
Sc2 0.0000 0.5000 0.7591
Sc3 0.5000 0.0000 0.2409
Sc4 0.5000 0.0000 0.7591
Al1 0.0000 0.0000 0.5000
Cu1 0.0000 0.0000 0.0000
Cu2 0.5000 0.5000 0.0000
Cu3 0.5000 0.5000 0.5000

=====

[7]
Compound: NaSrO2
Source: Alexandria
Functional: PBE-GGA
Structure: optimized geometry

Output
- raw total energy (eV per atom) = -4.89

a b c (Å): 6.1062 6.1062 6.1062
angles (deg): 34.72 34.72 34.72
Sites, in units of the cell vectors:
Na1 0.0000 0.0000 0.0000
Sr1 0.1746 0.1746 0.1746
O1 0.5876 0.5876 0.5876
O2 0.7587 0.7587 0.7587

=====

[8]
Compound: AgP2SF
Source: Alexandria
Functional: PBE-GGA
Structure: optimized geometry

Output
- energy above the most stable polymorph in this dataset (meV/atom) = 329
- raw total energy (eV per atom) = -2.88

a b c (Å): 4.8582 4.8582 4.7795
angles (deg): 90.00 90.00 90.00
Sites, in units of the cell vectors:
Ag1 0.0000 0.0000 0.0000
P1 0.0000 0.5000 0.0000
P2 0.5000 0.0000 0.0000
S1 0.0000 0.0000 0.5000
F1 0.5000 0.5000 0.5000

=====

[9]
Compound: CaCe2PbN
Source: Alexandria
Functional: PBE-GGA
Structure: optimized geometry

Output
- raw total energy (eV per atom) = -6.02

a b c (Å): 4.9083 4.9083 5.0380
angles (deg): 90.00 90.00 90.00
Sites, in units of the cell vectors:
Ca1 0.0000 0.0000 0.0000
Ce1 0.0000 0.5000 0.5000
Ce2 0.5000 0.0000 0.5000
Pb1 0.5000 0.5000 0.0000
N1 0.0000 0.0000 0.5000

=====

[10]
Compound: Mg2Ta4O9
Source: Alexandria
Functional: PBE-GGA
Structure: optimized geometry

Output
- raw total energy (eV per atom) = -8.73

a b c (Å): 5.2452 5.2452 14.2713
angles (deg): 90.00 90.00 120.00
Sites, in units of the cell vectors:
Mg1 0.0000 0.0000 0.1526
Mg2 0.0000 0.0000 0.3474
Mg3 0.0000 0.0000 0.6526
Mg4 0.0000 0.0000 0.8474
Ta1 0.3333 0.6667 0.0088
Ta2 0.3333 0.6667 0.3208
Ta3 0.3333 0.6667 0.5088
Ta4 0.3333 0.6667 0.8208
Ta5 0.6667 0.3333 0.1792
Ta6 0.6667 0.3333 0.4912
Ta7 0.6667 0.3333 0.6792
Ta8 0.6667 0.3333 0.9912
O1 0.0000 0.3148 0.2500
O2 0.0000 0.6852 0.7500
O3 0.0125 0.3429 0.9109
O4 0.0125 0.6696 0.4109
O5 0.3148 0.0000 0.2500
O6 0.3148 0.3148 0.7500
O7 0.3304 0.3429 0.4109
O8 0.3304 0.9875 0.9109
O9 0.3429 0.0125 0.5891
O10 0.3429 0.3304 0.0891
O11 0.6571 0.6696 0.9109
O12 0.6571 0.9875 0.4109
O13 0.6696 0.0125 0.0891
O14 0.6696 0.6571 0.5891
O15 0.6852 0.0000 0.7500
O16 0.6852 0.6852 0.2500
O17 0.9875 0.3304 0.5891
O18 0.9875 0.6571 0.0891

=====

[11]
Compound: Pr3Dy8Ho2
Source: Alexandria
Functional: PBE-GGA
Structure: optimized geometry

Output
- energy above the most stable polymorph in this dataset (meV/atom) = 0
- raw total energy (eV per atom) = -4.62
- formation energy from the elements (kJ/mol of formula units) = 28.3

a b c (Å): 10.7293 10.7293 8.0145
angles (deg): 94.19 94.19 27.27
Sites, in units of the cell vectors:
Pr1 0.0000 0.0000 0.0000
Pr2 0.4609 0.4609 0.6932
Pr3 0.5391 0.5391 0.3068
Dy1 0.0791 0.0791 0.6142
Dy2 0.1563 0.1563 0.2301
Dy3 0.3066 0.3066 0.4610
Dy4 0.3820 0.3820 0.0795
Dy5 0.6180 0.6180 0.9205
Dy6 0.6934 0.6934 0.5390
Dy7 0.8437 0.8437 0.7699
Dy8 0.9209 0.9209 0.3858
Ho1 0.2313 0.2313 0.8462
Ho2 0.7687 0.7687 0.1538

=====

[12]
Compound: Er2ScMo
Source: Alexandria
Functional: PBE-GGA
Structure: optimized geometry

Output
- raw total energy (eV per atom) = -5.93
- formation energy from the elements (kJ/mol of formula units) = 248.7

a b c (Å): 11.1892 11.1892 11.1892
angles (deg): 16.33 16.33 16.33
Sites, in units of the cell vectors:
Er1 0.0838 0.0838 0.0838
Er2 0.9162 0.9162 0.9162
Sc1 0.5000 0.5000 0.5000
Mo1 0.0000 0.0000 0.0000